[1]
The following is a PBE calculation of a relaxed CeNbCd crystal, from the Alexandria database.

abc: 4.678 4.724 6.710
angles: 110.65 92.28 90.04
Sites, in units of the cell vectors:
1 Ce 0.813 0.091 0.682
2 Ce 0.187 0.909 0.318
3 Cd 0.692 0.399 0.298
4 Cd 0.308 0.601 0.702
5 Nb 0.182 0.238 0.973
6 Nb 0.818 0.762 0.027

Computed properties:
Space-group type = No. 2
VASP energy = -32.8 eV per cell
Calculated formation energy = 0.172 eV per atom

[2]
The following is a PBE calculation of a relaxed TiNb2ZnH crystal, from the Alexandria database.

abc: 3.977 3.977 4.479
angles: 90.00 90.00 90.00
Sites, in units of the cell vectors:
1 Nb 0.000 0.500 0.000
2 Nb 0.500 0.000 0.000
3 H 0.000 0.000 0.000
4 Ti 0.500 0.500 0.500
5 Zn 0.000 0.000 0.500

Computed properties:
Excess energy over the best structure of this formula in the dataset = 92.0 meV/atom
Space-group type = No. 123
VASP energy = -32.9 eV per cell